VASP calculation (GGA-PBE) on NaCaCd2In2 after structural relaxation.

abc: 5.0633 5.0633 6.9944
angles: 90.00 90.00 120.00
Space group P-3m1 (No. 164)
Symmetry-distinct sites (fractional):
Na 0.0000 0.0000 0.0000 [1 per cell]
Ca 0.0000 0.0000 0.5000 [1 per cell]
Cd 0.3333 0.6667 0.2516 [2 per cell]
In 0.3333 0.6667 0.7463 [2 per cell]

Summary:
The calculation puts the density of states at the Fermi level at 2.83 states/eV per cell. The value obtained for the formation energy is -0.2462 eV/atom. The density is 5.53 Mg/m³.